No. 1
Compound: Na2CrW
Source: Alexandria via LeMat-Bulk
Functional: PBE-GGA
Structure: optimized geometry

Geometry as POSCAR:
```
Na2CrW
1.0
4.587 -0.795 0.248
2.010 -0.786 4.132
1.574 -4.259 1.054
Cr W Na
1 1 2
Cartesian
0.000 0.000 0.000
4.085 -2.920 2.717
2.043 -1.460 1.358
6.128 -4.380 4.075
```

The calculation puts the total energy at -4.0930 eV/atom. Its formation energy is 2.211 eV per atom.



No. 2
Compound: NaCrW3
Source: Alexandria via LeMat-Bulk
Functional: PBE-GGA
Structure: optimized geometry

Geometry as POSCAR:
```
NaCrW3
1.0
-1.759 -4.024 -0.707
2.703 -1.723 3.085
-3.064 0.790 3.126
Cr W Na
1 3 1
Cartesian
-1.061 -2.479 2.752
1.351 -0.862 1.542
-1.532 0.395 1.563
-0.880 -2.012 -0.354
0.000 0.000 0.000
```

The calculation puts the total energy at -6.7287 eV/atom. Its formation energy is 3.232 eV per atom.



What is the formula in the second record?
NaCrW3